Material: SrBeIr2
Method: DFT, meta-GGA SCAN
State: PBEsol geometry

```
SrBeIr2
1.0
2.871 0.000 0.000
0.000 4.874 0.000
0.000 0.000 9.628
Sr Be Ir
2 2 4
direct
0.000 0.000 0.000
0.500 0.500 0.500
0.000 0.500 0.789
0.500 0.000 0.289
0.000 0.000 0.480
0.000 0.500 0.210
0.500 0.000 0.710
0.500 0.500 0.980
```

- Total energy: -41.901 eV/atom
- N(E_F): 0.73 states/eV per atom
- Total magnetic moment: 0.00 μB/f.u.
- Space group: Imm2, No. 44
- Formation energy from the elements: 0.31 eV/atom

Material: ScRe2Si3
Method: DFT, meta-GGA SCAN
State: PBEsol geometry

```
ScRe2Si3
1.0
0.000 9.528 2.583
7.243 0.000 2.583
7.243 9.528 0.000
Sc Re Si
4 8 12
direct
0.042 0.958 0.690
0.310 0.690 0.958
0.690 0.310 0.042
0.958 0.042 0.310
0.180 0.809 0.416
0.404 0.584 0.191
0.459 0.995 0.541
0.584 0.404 0.820
0.670 0.843 0.157
0.809 0.180 0.596
0.843 0.670 0.330
0.995 0.459 0.005
0.031 0.811 0.969
0.071 0.651 0.349
0.138 0.375 0.625
0.245 0.245 0.255
0.287 0.723 0.564
0.375 0.138 0.862
0.436 0.574 0.713
0.574 0.436 0.277
0.651 0.071 0.929
0.723 0.287 0.426
0.745 0.745 0.755
0.811 0.031 0.189
```

- Total energy: -31.635 eV/atom
- N(E_F): 0.21 states/eV per atom
- Total magnetic moment: 0.00 μB/f.u.
- Space group: Fmm2, No. 42
- E_form (uncorrected): -0.55 eV/atom

Material: Ba4LiTc
Method: DFT, meta-GGA SCAN
State: PBEsol geometry

```
Ba4LiTc
1.0
0.000 4.963 4.963
4.963 0.000 4.963
4.963 4.963 0.000
Ba Li Tc
4 1 1
direct
0.124 0.124 0.124
0.124 0.124 0.628
0.124 0.628 0.124
0.628 0.124 0.124
0.500 0.500 0.500
0.750 0.750 0.750
```

- Total energy: -31.588 eV/atom
- N(E_F): 1.12 states/eV per atom
- Total magnetic moment: 1.87 μB/f.u.
- Space group: F-43m, No. 216
- Formation energy from the elements: 1.02 eV/atom

Material: K2GePt
Method: DFT, meta-GGA SCAN
State: PBEsol geometry

```
K2GePt
1.0
12.320 0.000 0.000
0.000 12.320 0.000
0.000 0.000 4.639
K Ge Pt
8 4 4
direct
0.033 0.750 0.125
0.250 0.033 0.875
0.250 0.467 0.375
0.467 0.750 0.625
0.533 0.250 0.625
0.750 0.533 0.375
0.750 0.967 0.875
0.967 0.250 0.125
0.000 0.000 0.500
0.000 0.500 0.750
0.500 0.000 0.250
0.500 0.500 0.000
0.000 0.000 0.000
0.000 0.500 0.250
0.500 0.000 0.750
0.500 0.500 0.500
```

- Total energy: -26.787 eV/atom
- N(E_F): 0.44 states/eV per atom
- Total magnetic moment: 0.00 μB/f.u.
- Space group: I-42d, No. 122
- Formation energy from the elements: -0.30 eV/atom